## ScP2SeCl (PBE-GGA)

Data for a relaxed ScP2SeCl crystal.

Formation energy without anion corrections (meV/atom): 353
Total magnetization (μB/cell): 0.0
Energy above the lowest structure with this stoichiometry (meV/atom): 227.6

```
data_ScP2SeCl
_space_group_name_H-M_alt 'P 4/m m m'
_space_group_IT_number 123
_space_group_name_Hall '-P 4 2'
_cell_length_a 4.8325
_cell_length_b 4.8325
_cell_length_c 4.7125
_cell_angle_alpha 90.00
_cell_angle_beta 90.00
_cell_angle_gamma 90.00
loop_
_atom_site_label
_atom_site_type_symbol
_atom_site_fract_x
_atom_site_fract_y
_atom_site_fract_z
Sc1 Sc 0.0000 0.0000 0.0000
P1 P 0.0000 0.5000 0.5000
Se1 Se 0.5000 0.5000 0.5000
Cl1 Cl 0.5000 0.5000 0.0000
```